A plane-wave DFT calculation with PBE was carried out for crystalline K4La3PtO8 at its relaxed geometry.

The structure in POSCAR format:
```
K4La3PtO8
1.0
6.6651 -3.4979 0.0000
6.6651 3.4979 0.0000
-3.4924 0.0000 6.3975
K La Pt O
4 3 1 8
direct
0.0000 0.0000 0.0000
0.0000 0.5000 0.0000
0.5000 0.0000 0.0000
0.5000 0.5000 0.0000
0.0000 0.0000 0.5000
0.0000 0.5000 0.5000
0.5000 0.0000 0.5000
0.5000 0.5000 0.5000
0.2082 0.2082 0.2589
0.2093 0.2093 0.6879
0.2597 0.6839 0.6634
0.3161 0.7403 0.3366
0.6839 0.2597 0.6634
0.7403 0.3161 0.3366
0.7907 0.7907 0.3121
0.7918 0.7918 0.7411
```

Computed properties:
V, Å³/cell: 298
Total magnetic moment, μB/cell: 1.10
Space-group type: C2/m, No. 12
ΔE_f (raw), eV/atom: -2.150